First-principles (GGA-PBE) data for a geometry-optimized CsRuC3 structure, as listed in Alexandria via LeMat-Bulk.

Cell and atoms, written as CIF:
```
data_CsRuC3
_space_group_name_H-M_alt 'P 1'
_space_group_IT_number 1
_cell_length_a 4.364
_cell_length_b 4.364
_cell_length_c 4.364
_cell_angle_alpha 90.00
_cell_angle_beta 90.00
_cell_angle_gamma 90.00
loop_
_space_group_symop_operation_xyz
'x,y,z'
loop_
_atom_site_label
_atom_site_fract_x
_atom_site_fract_y
_atom_site_fract_z
_atom_site_occupancy
Cs1 0.000 0.000 0.000 1
Ru1 0.500 0.500 0.500 1
C1 0.000 0.500 0.000 1
C2 0.000 0.000 0.500 1
C3 0.500 0.000 0.000 1
```

Properties
symmetry = No. 221
energy of formation = 4674 meV/atom
excess energy over the best structure of this formula in the dataset = 2679 meV per atom